The following is a PBE calculation of NaPm6Hg5 after structural relaxation, from the Alexandria database.

Cell: 5.396 7.665 8.574 Å, 90.00 108.29 90.00°
Positions (direct):
Na1 0.000 0.000 0.000
Pm1 0.171 0.251 0.344
Pm2 0.171 0.749 0.344
Pm3 0.500 0.262 0.000
Pm4 0.500 0.738 0.000
Pm5 0.829 0.251 0.656
Pm6 0.829 0.749 0.656
Hg1 0.000 0.500 0.000
Hg2 0.337 0.500 0.672
Hg3 0.346 0.000 0.688
Hg4 0.654 0.000 0.312
Hg5 0.663 0.500 0.328

Results
symmetry = P2/m
M_tot = 1.9 μB per formula unit
E_form = -356.5 meV per atom
E = -2.967 eV/atom